A plane-wave DFT calculation with GGA-PBE was carried out for a relaxed NdDy2In crystal.

Computed properties:
Symmetry: No. 225
Excess energy over the best structure of this formula in the dataset, meV per atom: 168.1
Energy of formation, eV per atom: -0.096

Lattice parameters (Å, degrees): 5.494 5.494 5.494 60.00 60.00 60.00
Each line ends with the local moment (μB).
Fractional coordinates of all 4 atoms:
In 0.000 0.000 0.000  0.01
Nd 0.500 0.500 0.500  0.35
Dy 0.250 0.250 0.250  0.30
Dy 0.750 0.750 0.750  0.30